Version w
# PBE-GGA HfFeTcAs, relaxed
data_HfFeTcAs
_space_group_name_H-M_alt 'F -4 3 m'
_space_group_IT_number 216
_space_group_name_Hall 'F -4 2 3'
_cell_length_a 6.3445
_cell_length_b 6.3445
_cell_length_c 6.3445
_cell_angle_alpha 90.00
_cell_angle_beta 90.00
_cell_angle_gamma 90.00
loop_
_atom_site_label
_atom_site_type_symbol
_atom_site_fract_x
_atom_site_fract_y
_atom_site_fract_z
Hf1 Hf 0.0000 0.0000 0.0000
Fe1 Fe 0.0000 0.0000 0.5000
Tc1 Tc 0.2500 0.2500 0.7500
As1 As 0.2500 0.2500 0.2500
# Total magnetization: 4.2 μB per formula unit

---

Version x
# PBE-GGA HfFeTcAs, relaxed
data_HfFeTcAs
_space_group_name_H-M_alt 'F -4 3 m'
_space_group_IT_number 216
_space_group_name_Hall 'F -4 2 3'
_cell_length_a 6.1546
_cell_length_b 6.1546
_cell_length_c 6.1546
_cell_angle_alpha 90.00
_cell_angle_beta 90.00
_cell_angle_gamma 90.00
loop_
_atom_site_label
_atom_site_type_symbol
_atom_site_fract_x
_atom_site_fract_y
_atom_site_fract_z
Hf1 Hf 0.0000 0.0000 0.0000
Fe1 Fe 0.2500 0.2500 0.7500
Tc1 Tc 0.2500 0.2500 0.2500
As1 As 0.0000 0.0000 0.5000
# Total magnetization: 0.0 μB per formula unit

---

Decreasing stability: version x, version w

---

Version w
# PBE-GGA NbFeHgAs, relaxed
data_NbFeHgAs
_space_group_name_H-M_alt 'F -4 3 m'
_space_group_IT_number 216
_space_group_name_Hall 'F -4 2 3'
_cell_length_a 6.4519
_cell_length_b 6.4519
_cell_length_c 6.4519
_cell_angle_alpha 90.00
_cell_angle_beta 90.00
_cell_angle_gamma 90.00
loop_
_atom_site_label
_atom_site_type_symbol
_atom_site_fract_x
_atom_site_fract_y
_atom_site_fract_z
Nb1 Nb 0.0000 0.0000 0.0000
Fe1 Fe 0.0000 0.0000 0.5000
Hg1 Hg 0.2500 0.2500 0.7500
As1 As 0.2500 0.2500 0.2500
# Total magnetization: 1.9 μB per formula unit

---

Version x
# PBE-GGA NbFeHgAs, relaxed
data_NbFeHgAs
_space_group_name_H-M_alt 'F -4 3 m'
_space_group_IT_number 216
_space_group_name_Hall 'F -4 2 3'
_cell_length_a 6.4951
_cell_length_b 6.4951
_cell_length_c 6.4951
_cell_angle_alpha 90.00
_cell_angle_beta 90.00
_cell_angle_gamma 90.00
loop_
_atom_site_label
_atom_site_type_symbol
_atom_site_fract_x
_atom_site_fract_y
_atom_site_fract_z
Nb1 Nb 0.0000 0.0000 0.0000
Fe1 Fe 0.2500 0.2500 0.7500
Hg1 Hg 0.2500 0.2500 0.2500
As1 As 0.0000 0.0000 0.5000
# Total magnetization: 0.2 μB per formula unit

---

Decreasing stability: version w, version x

---

Version w
# PBE-GGA ScFeHgAs, relaxed
data_ScFeHgAs
_space_group_name_H-M_alt 'F -4 3 m'
_space_group_IT_number 216
_space_group_name_Hall 'F -4 2 3'
_cell_length_a 6.6600
_cell_length_b 6.6600
_cell_length_c 6.6600
_cell_angle_alpha 90.00
_cell_angle_beta 90.00
_cell_angle_gamma 90.00
loop_
_atom_site_label
_atom_site_type_symbol
_atom_site_fract_x
_atom_site_fract_y
_atom_site_fract_z
Sc1 Sc 0.0000 0.0000 0.0000
Fe1 Fe 0.2500 0.2500 0.7500
Hg1 Hg 0.2500 0.2500 0.2500
As1 As 0.0000 0.0000 0.5000
# Total magnetization: 1.9 μB per formula unit

---

Version x
# PBE-GGA ScFeHgAs, relaxed
data_ScFeHgAs
_space_group_name_H-M_alt 'F -4 3 m'
_space_group_IT_number 216
_space_group_name_Hall 'F -4 2 3'
_cell_length_a 6.5879
_cell_length_b 6.5879
_cell_length_c 6.5879
_cell_angle_alpha 90.00
_cell_angle_beta 90.00
_cell_angle_gamma 90.00
loop_
_atom_site_label
_atom_site_type_symbol
_atom_site_fract_x
_atom_site_fract_y
_atom_site_fract_z
Sc1 Sc 0.0000 0.0000 0.0000
Fe1 Fe 0.0000 0.0000 0.5000
Hg1 Hg 0.2500 0.2500 0.7500
As1 As 0.2500 0.2500 0.2500
# Total magnetization: 2.0 μB per formula unit

---

Decreasing stability: version x, version w

---

Version w
# PBE-GGA YFeHgAs, relaxed
data_YFeHgAs
_space_group_name_H-M_alt 'F -4 3 m'
_space_group_IT_number 216
_space_group_name_Hall 'F -4 2 3'
_cell_length_a 6.8570
_cell_length_b 6.8570
_cell_length_c 6.8570
_cell_angle_alpha 90.00
_cell_angle_beta 90.00
_cell_angle_gamma 90.00
loop_
_atom_site_label
_atom_site_type_symbol
_atom_site_fract_x
_atom_site_fract_y
_atom_site_fract_z
Y1 Y 0.0000 0.0000 0.0000
Fe1 Fe 0.0000 0.0000 0.5000
Hg1 Hg 0.2500 0.2500 0.7500
As1 As 0.2500 0.2500 0.2500
# Total magnetization: 2.2 μB per formula unit

---

Version x
# PBE-GGA YFeHgAs, relaxed
data_YFeHgAs
_space_group_name_H-M_alt 'F -4 3 m'
_space_group_IT_number 216
_space_group_name_Hall 'F -4 2 3'
_cell_length_a 6.8962
_cell_length_b 6.8962
_cell_length_c 6.8962
_cell_angle_alpha 90.00
_cell_angle_beta 90.00
_cell_angle_gamma 90.00
loop_
_atom_site_label
_atom_site_type_symbol
_atom_site_fract_x
_atom_site_fract_y
_atom_site_fract_z
Y1 Y 0.0000 0.0000 0.0000
Fe1 Fe 0.2500 0.2500 0.7500
Hg1 Hg 0.2500 0.2500 0.2500
As1 As 0.0000 0.0000 0.5000
# Total magnetization: 2.2 μB per formula unit

---

Decreasing stability: version w, version x